(1)
The following is a PBE-GGA calculation of a relaxed structure of Na2Tl2In15, from Alexandria.

Values from the calculation:
Fermi-level density of states (states/eV/f.u.): 7.43
Distance to the lowest polymorph of the same formula (meV per atom): 0
Crystal system: trigonal
E_form (meV per atom): 15.1

```
data_Na2Tl2In15
_chemical_formula_sum 'Na6 Tl6 In45'
_space_group_name_H-M_alt 'R -3 m'
_space_group_IT_number 166
_space_group_name_Hall '-R 3 2"'
_cell_length_a 9.8771
_cell_length_b 9.8771
_cell_length_c 19.3841
_cell_angle_alpha 90.00
_cell_angle_beta 90.00
_cell_angle_gamma 120.00
loop_
_atom_site_label
_atom_site_type_symbol
_atom_site_fract_x
_atom_site_fract_y
_atom_site_fract_z
Na1 Na 0.0000 0.0000 0.2103
Tl1 Tl 0.0000 0.0000 0.4032
In1 In 0.0000 0.3056 0.5000
In2 In 0.0000 0.5000 0.0000
In3 In 0.0550 0.5275 0.6193
```

---

(2)
The following is a PBE-GGA calculation of a relaxed structure of NaTl6In8, from Alexandria.

Values from the calculation:
Fermi-level density of states (states/eV/f.u.): 7.69
Distance to the lowest polymorph of the same formula (meV per atom): 42
Crystal system: trigonal
E_form (meV per atom): 39.3

```
data_NaTl6In8
_chemical_formula_sum 'Na3 Tl18 In24'
_space_group_name_H-M_alt 'R -3'
_space_group_IT_number 148
_space_group_name_Hall '-R 3'
_cell_length_a 8.7205
_cell_length_b 8.7205
_cell_length_c 20.6677
_cell_angle_alpha 90.00
_cell_angle_beta 90.00
_cell_angle_gamma 120.00
loop_
_atom_site_label
_atom_site_type_symbol
_atom_site_fract_x
_atom_site_fract_y
_atom_site_fract_z
Na1 Na 0.0000 0.0000 0.0000
Tl1 Tl 0.0264 0.7777 0.6316
In1 In 0.0000 0.0000 0.2398
In2 In 0.0040 0.6819 0.1379
```

---

(3)
The following is a PBE-GGA calculation of a relaxed structure of Na3Tl4In4, from Alexandria.

Values from the calculation:
Fermi-level density of states (states/eV/f.u.): 3.86
Crystal system: orthorhombic
E_form (meV per atom): -14.1

```
data_Na3Tl4In4
_chemical_formula_sum 'Na6 Tl8 In8'
_space_group_name_H-M_alt 'I m m m'
_space_group_IT_number 71
_space_group_name_Hall '-I 2 2'
_cell_length_a 4.281
_cell_length_b 10.022
_cell_length_c 15.772
_cell_angle_alpha 90.00
_cell_angle_beta 90.00
_cell_angle_gamma 90.00
loop_
_atom_site_label
_atom_site_type_symbol
_atom_site_fract_x
_atom_site_fract_y
_atom_site_fract_z
Na1 Na 0.000 0.000 0.000
Na2 Na 0.000 0.500 0.131
Tl1 Tl 0.000 0.000 0.208
Tl2 Tl 0.000 0.161 0.500
In1 In 0.000 0.279 0.324
```